[1]
The following is a DFT calculation (PBE) of a relaxed structure of Cs7Rb12Br.

Summary:
For the volume, the calculation gives 1890.8 Å³/cell. The value obtained for the size of the total moment is 0.000 Bohr magnetons per cell. Its space-group type is R-3m. The uncorrected formation energy is -108.2 meV per atom. For the raw total energy, the calculation gives -1.071 eV per atom. The density is 1.8 Mg/m³. The density of states at the Fermi level comes out at 18.284 states/eV/f.u.

a b c (Å): 15.833 15.833 15.833
angles (deg): 116.47 116.47 116.47
Element x y z (fractional)
1 Cs 0.000 0.000 0.000
2 Cs 0.183 0.409 0.409
3 Cs 0.409 0.183 0.409
4 Cs 0.409 0.409 0.183
5 Cs 0.591 0.591 0.817
6 Cs 0.591 0.817 0.591
7 Cs 0.817 0.591 0.591
8 Rb 0.000 0.408 0.592
9 Rb 0.000 0.592 0.408
10 Rb 0.032 0.032 0.390
11 Rb 0.032 0.390 0.032
12 Rb 0.390 0.032 0.032
13 Rb 0.408 0.000 0.592
14 Rb 0.408 0.592 0.000
15 Rb 0.592 0.000 0.408
16 Rb 0.592 0.408 0.000
17 Rb 0.610 0.968 0.968
18 Rb 0.968 0.610 0.968
19 Rb 0.968 0.968 0.610
20 Br 0.500 0.500 0.500

[2]
The following is a DFT calculation (PBE) of a relaxed structure of Ca3MnFe.

Summary:
For the volume, the calculation gives 156.4 Å³/cell. The value obtained for the size of the total moment is 6.064 Bohr magnetons per cell. Its space-group type is Pm-3m. As for the energy relative to the elements: 3.499 eV per formula unit. For the raw total energy, the calculation gives -4.028 eV per atom. The density is 2.5 Mg/m³. The offset from the most stable computed form comes out at 0 meV per atom. The density of states at the Fermi level comes out at 7.555 states/eV/f.u.

a b c (Å): 5.387 5.387 5.387
angles (deg): 90.00 90.00 90.00
Element x y z (fractional)
1 Ca 0.000 0.000 0.500
2 Ca 0.000 0.500 0.000
3 Ca 0.500 0.000 0.000
4 Mn 0.500 0.500 0.500
5 Fe 0.000 0.000 0.000

[3]
The following is a DFT calculation (PBE) of a relaxed structure of CeAs2W.

Summary:
For the volume, the calculation gives 82.6 Å³/cell. The value obtained for the size of the total moment is 0.252 Bohr magnetons per cell. Its space-group type is R-3m. As for the energy relative to the elements: -0.009 eV per formula unit. For the raw total energy, the calculation gives -7.049 eV per atom. The density is 9.5 Mg/m³. The density of states at the Fermi level comes out at 5.304 states/eV/f.u.

a b c (Å): 10.014 10.014 10.014
angles (deg): 17.88 17.88 17.88
Element x y z (fractional)
1 Ce 0.000 0.000 0.000
2 As 0.103 0.103 0.103
3 As 0.897 0.897 0.897
4 W 0.500 0.500 0.500

[4]
The following is a DFT calculation (PBE) of a relaxed structure of CuReGe2.

Summary:
For the volume, the calculation gives 59.5 Å³/cell. The value obtained for the size of the total moment is 0.000 Bohr magnetons per cell. Its space-group type is Fm-3m. As for the energy relative to the elements: 1.698 eV per formula unit. For the raw total energy, the calculation gives -6.020 eV per atom. The density is 11.0 Mg/m³. The offset from the most stable computed form comes out at 198 meV per atom. The density of states at the Fermi level comes out at 0.909 states/eV/f.u.

a b c (Å): 4.383 4.383 4.383
angles (deg): 60.00 60.00 60.00
Element x y z (fractional)
1 Cu 0.000 0.000 0.000
2 Re 0.500 0.500 0.500
3 Ge 0.250 0.250 0.250
4 Ge 0.750 0.750 0.750

[5]
The following is a DFT calculation (PBE) of a relaxed structure of Rb2TiBi2.

Summary:
For the volume, the calculation gives 373.1 Å³/cell. The value obtained for the size of the total moment is 3.806 Bohr magnetons per cell. Its space-group type is P4/mbm. As for the energy relative to the elements: -0.261 eV per formula unit. For the raw total energy, the calculation gives -3.571 eV per atom. The density is 5.7 Mg/m³. The offset from the most stable computed form comes out at 0 meV per atom. The density of states at the Fermi level comes out at 3.769 states/eV/f.u.

a b c (Å): 7.723 7.723 6.256
angles (deg): 90.00 90.00 90.00
Element x y z (fractional)
1 Rb 0.166 0.334 0.000
2 Rb 0.334 0.834 0.000
3 Rb 0.666 0.166 0.000
4 Rb 0.834 0.666 0.000
5 Ti 0.000 0.000 0.500
6 Ti 0.500 0.500 0.500
7 Bi 0.149 0.649 0.500
8 Bi 0.351 0.149 0.500
9 Bi 0.649 0.851 0.500
10 Bi 0.851 0.351 0.500

[6]
The following is a DFT calculation (PBE) of a relaxed structure of BaTcMo2.

Summary:
For the volume, the calculation gives 76.2 Å³/cell. The value obtained for the size of the total moment is 0.000 Bohr magnetons per cell. Its space-group type is C2/m. As for the energy relative to the elements: 5.188 eV per formula unit. For the raw total energy, the calculation gives -7.191 eV per atom. The density is 9.3 Mg/m³. The offset from the most stable computed form comes out at 604 meV per atom. The density of states at the Fermi level comes out at 4.023 states/eV/f.u.

a b c (Å): 5.560 5.560 2.972
angles (deg): 99.54 99.54 118.75
Element x y z (fractional)
1 Ba 0.000 0.000 0.000
2 Tc 0.500 0.500 0.000
3 Mo 0.000 0.500 0.500
4 Mo 0.500 0.000 0.500

[7]
The following is a DFT calculation (PBE) of a relaxed structure of Rb2InBiTe4.

Summary:
For the volume, the calculation gives 318.7 Å³/cell. The value obtained for the size of the total moment is 0.000 Bohr magnetons per cell. Its space-group type is I-42m. The uncorrected formation energy is -616.0 meV per atom. For the raw total energy, the calculation gives -3.256 eV per atom. The density is 5.2 Mg/m³.

a b c (Å): 7.491 7.491 7.491
angles (deg): 105.56 105.56 117.62
Element x y z (fractional)
1 Rb 0.000 0.500 0.500
2 Rb 0.500 0.000 0.500
3 In 0.000 0.000 0.000
4 Bi 0.500 0.500 0.000
5 Te 0.056 0.406 0.000
6 Te 0.406 0.056 0.000
7 Te 0.594 0.594 0.650
8 Te 0.944 0.944 0.350

[8]
The following is a DFT calculation (PBE) of a relaxed structure of Ti3Tl3CrSe8.

Summary:
For the volume, the calculation gives 376.2 Å³/cell. The value obtained for the size of the total moment is 1.465 Bohr magnetons per cell. Its space-group type is C2/m. The uncorrected formation energy is -812.2 meV per atom. For the raw total energy, the calculation gives -5.364 eV per atom. The density is 6.4 Mg/m³. The density of states at the Fermi level comes out at 7.458 states/eV/f.u.

a b c (Å): 7.292 7.292 9.186
angles (deg): 113.33 113.33 60.02
Element x y z (fractional)
1 Ti 0.000 0.000 0.000
2 Ti 0.000 0.500 0.000
3 Ti 0.500 0.000 0.000
4 Tl 0.000 0.500 0.500
5 Tl 0.500 0.000 0.500
6 Tl 0.500 0.500 0.500
7 Cr 0.500 0.500 0.000
8 Se 0.228 0.228 0.185
9 Se 0.231 0.726 0.184
10 Se 0.274 0.274 0.816
11 Se 0.274 0.769 0.816
12 Se 0.726 0.231 0.184
13 Se 0.726 0.726 0.184
14 Se 0.769 0.274 0.816
15 Se 0.772 0.772 0.815